# 1
Below is crystalline NbVCo3 at its relaxed geometry, with properties calculated at the PBE level.

The space group is Pm-3m (No. 221) and the conventional cell measures 4.171, 4.171 and 4.171 Å, with angles of 90.00, 90.00 and 90.00 degrees. The inequivalent atoms are Nb at (0.000, 0.000, 0.000), V at (0.500, 0.500, 0.500) and Co at (0.000, 0.500, 0.500).

As for the theoretical density: 7.3 g cm⁻³. The calculated formation energy comes out at 416 kJ/mol of formula units. For the total magnetization, the calculation gives 1.773 μB per formula unit. The value obtained for the calculated volume is 72.6 Å³/cell.


# 2
Below is crystalline TbEuBi2 at its relaxed geometry, with properties calculated at the PBE level.

The space group is Fm-3m (No. 225) and the conventional cell measures 7.944, 7.944 and 7.944 Å, with angles of 90.00, 90.00 and 90.00 degrees. The inequivalent atoms are Tb at (0.000, 0.000, 0.000), Eu at (0.000, 0.000, 0.500) and Bi at (0.250, 0.250, 0.250).

As for the theoretical density: 9.7 g cm⁻³. The calculated formation energy comes out at -257 kJ/mol of formula units. For the total magnetization, the calculation gives 7.034 μB per formula unit. The value obtained for the calculated volume is 501.3 Å³/cell.


# 3
Below is crystalline Tb3Dy3MgTe8 at its relaxed geometry, with properties calculated at the PBE level.

The space group is R-3m (No. 166, hexagonal axes) and the conventional cell measures 8.6999, 8.6999 and 21.3356 Å, with angles of 90.00, 90.00 and 120.00 degrees. The inequivalent atoms are Tb at (0.0000, 0.5000, 0.0000), Dy at (0.0000, 0.5000, 0.5000), Mg at (0.0000, 0.0000, 0.5000), Te at (0.0000, 0.0000, 0.2495) and Te at (0.0043, 0.5021, 0.2484).

As for the theoretical density: 7.2 g cm⁻³. For the total magnetization, the calculation gives 0.000 μB per formula unit. The value obtained for the calculated volume is 1398.5 Å³/cell. The energy relative to the elements, uncorrected comes out at -1.289 eV per atom.


# 4
Below is crystalline Ac2TlCd12Ag3 at its relaxed geometry, with properties calculated at the PBE level.

The space group is R-3m (No. 166, hexagonal axes) and the conventional cell measures 10.6856, 10.6856 and 14.0931 Å, with angles of 90.00, 90.00 and 120.00 degrees. The inequivalent atoms are Ac at (0.0000, 0.0000, 0.2482), Tl at (0.0000, 0.0000, 0.0000), Cd at (0.0074, 0.5037, 0.7019), Cd at (0.0561, 0.5280, 0.0984) and Ag at (0.0000, 0.5000, 0.5000).

As for the theoretical density: 8.3 g cm⁻³. The calculated formation energy comes out at -19 kJ/mol of formula units. For the total magnetization, the calculation gives 0.000 μB per formula unit. The value obtained for the calculated volume is 1393.6 Å³/cell.


# 5
Below is crystalline Li3BiPd3 at its relaxed geometry, with properties calculated at the PBE level.

The space group is Cmmm (No. 65) and the conventional cell measures 8.649, 9.214 and 5.930 Å, with angles of 90.00, 90.00 and 90.00 degrees. The inequivalent atoms are Li at (0.000, 0.237, 0.000), Li at (0.000, 0.244, 0.500), Li at (0.234, 0.500, 0.500), Bi at (0.218, 0.500, 0.000), Pd at (0.000, 0.000, 0.257) and Pd at (0.250, 0.250, 0.263).

As for the theoretical density: 7.7 g cm⁻³. The calculated formation energy comes out at -285 kJ/mol of formula units. For the total magnetization, the calculation gives 0.000 μB per formula unit. The value obtained for the calculated volume is 472.6 Å³/cell.


# 6
Below is crystalline ZrMnSb2 at its relaxed geometry, with properties calculated at the PBE level.

The space group is P4mm (No. 99) and the conventional cell measures 3.206, 3.206 and 8.660 Å, with angles of 90.00, 90.00 and 90.00 degrees. The inequivalent atoms are Zr at (0.000, 0.000, 0.000), Mn at (0.500, 0.500, 0.187), Sb at (0.000, 0.000, 0.358) and Sb at (0.500, 0.500, 0.744).

As for the theoretical density: 7.3 g cm⁻³. For the total magnetization, the calculation gives 0.547 μB per formula unit. The value obtained for the calculated volume is 89.0 Å³/cell. The energy relative to the elements, uncorrected comes out at -0.090 eV per atom.


# 7
Below is crystalline CdSe3 at its relaxed geometry, with properties calculated at the PBE level.

The space group is Pm-3m (No. 221) and the conventional cell measures 5.337, 5.337 and 5.337 Å, with angles of 90.00, 90.00 and 90.00 degrees. The inequivalent atoms are Cd at (0.000, 0.000, 0.000) and Se at (0.000, 0.000, 0.500).

As for the theoretical density: 3.8 g cm⁻³. For the total magnetization, the calculation gives 2.120 μB per formula unit. The value obtained for the calculated volume is 152.0 Å³/cell. The energy relative to the elements, uncorrected comes out at 0.719 eV per atom.


# 8
Below is crystalline LiMg2Br at its relaxed geometry, with properties calculated at the PBE level.

The space group is I-42d (No. 122) and the conventional cell measures 8.499, 8.499 and 5.851 Å, with angles of 90.00, 90.00 and 90.00 degrees. The inequivalent atoms are Li at (0.000, 0.000, 0.000), Mg at (0.220, 0.250, 0.625) and Br at (0.000, 0.000, 0.500).

As for the theoretical density: 2.1 g cm⁻³. For the total magnetization, the calculation gives 0.000 μB per formula unit. The value obtained for the calculated volume is 422.6 Å³/cell. The energy relative to the elements, uncorrected comes out at -0.265 eV per atom.